# 1
Crystalline CaTl2Pb2 at its relaxed geometry. Source: Alexandria via LeMat-Bulk, functional GGA-PBE.

Results
N(E_F) ... 2.68 states/eV/f.u.
SG ... I4/mmm (139)
Energy of formation ... -0.056 eV/atom
Energy relative to the lowest polymorph listed for this composition ... 143 meV/atom
VASP energy ... -14.43 eV for the cell shown

The structure in POSCAR format:
```
CaTl2Pb2
1.0
-1.7065 -4.1841 1.1417
3.3686 -2.0515 -2.4832
5.3536 -3.2569 5.5794
Pb Tl Ca
2 2 1
direct
0.7500 0.2500 0.5000
0.2500 0.7500 0.5000
0.5987 0.5987 0.8025
0.4013 0.4013 0.1975
0.0000 0.0000 0.0000
```

# 2
Crystalline Ca4TlPb15 at its relaxed geometry. Source: Alexandria via LeMat-Bulk, functional GGA-PBE.

Results
N(E_F) ... 12.45 states/eV/f.u.
SG ... P4/mmm (123)
Energy of formation ... -0.236 eV/atom
VASP energy ... -70.72 eV for the cell shown

The structure in POSCAR format:
```
Ca4TlPb15
1.0
-4.4251 -1.0733 2.1522
-1.8039 -1.4996 -4.4567
7.5727 -22.3122 4.4424
Ca Pb Tl
4 15 1
direct
0.0000 0.0000 0.4007
0.0000 0.0000 0.5993
0.0000 0.0000 0.2058
0.0000 0.0000 0.7942
0.0000 0.5000 0.8976
0.0000 0.5000 0.3021
0.5000 0.5000 0.5999
0.5000 0.5000 0.4001
0.0000 0.5000 0.1024
0.5000 0.0000 0.6979
0.5000 0.5000 0.2006
0.5000 0.5000 0.7994
0.5000 0.0000 0.8976
0.0000 0.5000 0.5000
0.5000 0.0000 0.1024
0.5000 0.5000 0.0000
0.5000 0.0000 0.3021
0.0000 0.5000 0.6979
0.5000 0.0000 0.5000
0.0000 0.0000 0.0000
```

# 3
Crystalline CaTl7Pb4 at its relaxed geometry. Source: Alexandria via LeMat-Bulk, functional GGA-PBE.

Results
N(E_F) ... 6.71 states/eV/f.u.
SG ... C2/m (12)
Energy of formation ... 0.040 eV/atom
Energy relative to the lowest polymorph listed for this composition ... 99 meV/atom
VASP energy ... -32.92 eV for the cell shown

The structure in POSCAR format:
```
CaTl7Pb4
1.0
6.0556 0.0000 0.0000
3.0278 10.8494 -0.4085
3.0278 0.1093 6.0002
Pb Tl Ca
4 7 1
direct
0.2871 0.3017 0.1240
0.5969 0.2218 0.5844
0.4031 0.7782 0.4156
0.7129 0.6983 0.8760
0.6567 0.4542 0.2324
0.3433 0.5458 0.7676
0.5000 0.0000 0.0000
0.0407 0.6200 0.2986
0.9593 0.3800 0.7014
0.2057 0.0870 0.5017
0.7943 0.9130 0.4983
0.0000 0.0000 0.0000
```